No. 1
YCoReGe | GGA-PBE | relaxed

Unit cell a=4.6166 b=4.6166 c=4.6166 alpha=60.00 beta=60.00 gamma=60.00
Last column: nearest neighbours and their distance in Å.
Fractional coordinates of all 4 atoms:
1 Y 0.0000 0.0000 0.0000  4 Re 2.83, 4 Ge 2.83
2 Co 0.5000 0.5000 0.5000  4 Re 2.83, 4 Ge 2.83
3 Re 0.7500 0.7500 0.7500  4 Co 2.83, 4 Y 2.83
4 Ge 0.2500 0.2500 0.2500  4 Co 2.83, 4 Y 2.83

Computed properties:
Distance to the lowest polymorph of the same formula in meV/atom: 232.2

---

No. 2
DyErIn2Ir4 | GGA-PBE | relaxed

Unit cell a=4.5594 b=4.5594 c=8.8597 alpha=90.00 beta=90.00 gamma=120.00
Last column: nearest neighbours and their distance in Å.
Fractional coordinates of all 8 atoms:
1 Dy 0.0000 0.0000 0.0000  8 Ir 2.93-3.15
2 Er 0.3333 0.6667 0.5000  8 Ir 2.93-3.13
3 In 0.6667 0.3333 0.2503  6 Ir 2.79
4 In 0.6667 0.3333 0.7497  6 Ir 2.79
5 Ir 0.0000 0.0000 0.3561  1 Ir 2.55, 3 In 2.79
6 Ir 0.0000 0.0000 0.6439  1 Ir 2.55, 3 In 2.79
7 Ir 0.3333 0.6667 0.1462  1 Ir 2.59, 3 In 2.79
8 Ir 0.3333 0.6667 0.8538  1 Ir 2.59, 3 In 2.79

---

No. 3
SrTaCuPt | GGA-PBE | relaxed

Unit cell a=4.6754 b=4.6754 c=4.6754 alpha=60.00 beta=60.00 gamma=60.00
Last column: nearest neighbours and their distance in Å.
Fractional coordinates of all 4 atoms:
1 Sr 0.0000 0.0000 0.0000  4 Ta 2.86, 4 Cu 2.86
2 Ta 0.7500 0.7500 0.7500  4 Sr 2.86, 4 Pt 2.86
3 Cu 0.2500 0.2500 0.2500  4 Pt 2.86, 4 Sr 2.86
4 Pt 0.5000 0.5000 0.5000  4 Ta 2.86, 4 Cu 2.86

Computed properties:
Distance to the lowest polymorph of the same formula in meV/atom: 31.6

---

no.,total magnetization (μB/f.u.),E_tot (eV/atom)
1,3.476,-7.164
2,0.055,-6.695
3,0.000,-5.541